Compound: La2Ga4AgPt3
Source: the Alexandria database
Functional: PBE
Structure: optimized geometry

Lattice parameters (Å, degrees): 4.3687 4.3687 10.6121 90.00 90.00 90.00
With the nearest neighbours (Å) after each atom.
Positions (direct):
1 Ga 0.0000 0.5000 0.3664  3 Pt 2.51-2.60, 2 Ag 2.60
2 Ga 0.0000 0.0000 0.0000  4 Pt 2.58
3 Pt 0.0000 0.0000 0.5000  4 Ga 2.60
4 Ga 0.5000 0.5000 0.0000  4 Pt 2.58
5 Ga 0.5000 0.0000 0.6336  3 Pt 2.51-2.60, 2 Ag 2.60
6 Ag 0.5000 0.5000 0.5000  4 Ga 2.60
7 La 0.0000 0.5000 0.7607  6 Pt 3.30-3.52, 8 Ga 3.35-3.37, 2 Ag 3.52
8 Pt 0.0000 0.5000 0.1297  5 Ga 2.51-2.58
9 Pt 0.5000 0.0000 0.8703  5 Ga 2.51-2.58
10 La 0.5000 0.0000 0.2393  6 Pt 3.30-3.52, 8 Ga 3.35-3.37, 2 Ag 3.52

Output
The calculation puts the raw total energy at -5.16 eV/atom. Its formation energy from the elements is -0.8668 eV/atom. The crystal system is tetragonal.